Entry 1:
VASP calculation (PBE-GGA) on a relaxed BaCaPdPb crystal.

Cell lengths 5.595, 5.595, 5.595 Å; angles 60.00, 60.00, 60.00 degrees
Element x y z (fractional)
Pb 0.250 0.250 0.250
Ca 0.000 0.000 0.000
Ba 0.500 0.500 0.500
Pd 0.750 0.750 0.750

- Volume: 124 Å³/cell
- Energy of formation: -0.40 eV per atom
- E_tot: -3.60 eV/atom
- Magnetic moment: 0.000 μB/atom

Entry 2:
VASP calculation (PBE-GGA) on a relaxed In4MoRu crystal.

Cell lengths 5.618, 5.618, 5.618 Å; angles 60.00, 60.00, 60.00 degrees
Last column: magnetic moment on the atom in μB.
Element x y z (fractional)
In 0.375 0.875 0.375  -0.01
In 0.875 0.375 0.375  -0.01
In 0.375 0.375 0.875  -0.01
In 0.375 0.375 0.375  -0.01
Mo 0.750 0.750 0.750  1.80
Ru 0.000 0.000 0.000  1.73

- Volume: 125 Å³/cell
- Energy of formation: 0.96 eV per atom
- E_tot: -4.22 eV/atom
- Magnetic moment: 0.636 μB/atom

Entry 3:
VASP calculation (PBE-GGA) on a relaxed AcSmReO6 crystal.

Cell lengths 5.660, 5.659, 5.237 Å; angles 89.99, 89.99, 60.00 degrees
Last column: magnetic moment on the atom in μB.
Element x y z (fractional)
Ac 0.000 0.000 0.000  0.03
Sm 0.667 0.667 0.500  0.01
Re 0.333 0.333 0.500  0.74
O 0.049 0.335 0.288  0.02
O 0.335 0.049 0.712  0.02
O 0.616 0.335 0.712  0.02
O 0.049 0.616 0.712  0.02
O 0.335 0.616 0.288  0.02
O 0.616 0.049 0.288  0.02

- Volume: 145 Å³/cell
- E_tot: -8.25 eV/atom
- Magnetic moment: 0.113 μB/atom
- E_form (uncorrected): -2.581 eV per atom

Entry 4:
VASP calculation (PBE-GGA) on a relaxed LiSmThIr crystal.

Cell lengths 5.063, 5.063, 5.063 Å; angles 60.00, 60.00, 60.00 degrees
Element x y z (fractional)
Ir 0.500 0.500 0.500
Sm 0.250 0.250 0.250
Th 0.750 0.750 0.750
Li 0.000 0.000 0.000

- Volume: 92 Å³/cell
- Energy of formation: -0.37 eV per atom
- E_tot: -6.10 eV/atom
- Magnetic moment: 0.000 μB/atom

Entry 5:
VASP calculation (PBE-GGA) on a relaxed Co3Ru2 crystal.

Cell lengths 10.492, 10.492, 10.492 Å; angles 14.35, 14.35, 14.35 degrees
Last column: magnetic moment on the atom in μB.
Element x y z (fractional)
Co 0.000 0.000 0.000  -1.52
Co 0.198 0.198 0.198  1.58
Co 0.802 0.802 0.802  1.58
Ru 0.400 0.400 0.400  0.06
Ru 0.600 0.600 0.600  0.06

- Volume: 62 Å³/cell
- Energy of formation: 0.18 eV per atom
- E_tot: -7.79 eV/atom
- Magnetic moment: 0.343 μB/atom

Entry 6:
VASP calculation (PBE-GGA) on a relaxed HfNb4Re5 crystal.

Cell lengths 3.216, 3.216, 16.139 Å; angles 90.00, 90.00, 90.00 degrees
Element x y z (fractional)
Hf 0.000 0.000 0.000
Nb 0.000 0.000 0.201
Nb 0.000 0.000 0.400
Nb 0.000 0.000 0.600
Nb 0.000 0.000 0.799
Re 0.500 0.500 0.105
Re 0.500 0.500 0.302
Re 0.500 0.500 0.500
Re 0.500 0.500 0.698
Re 0.500 0.500 0.895

- Volume: 167 Å³/cell
- Energy of formation: -0.31 eV per atom
- E_tot: -11.56 eV/atom
- Magnetic moment: 0.000 μB/atom